Entry 1:
An optimized crystal structure of Zr2SeI3, computed with PBE.

POSCAR file:
```
Zr2SeI3
1.0
15.193 -1.919 0.000
15.193 1.919 0.000
-0.220 0.000 6.932
Zr Se I
4 2 6
Cartesian
3.435 0.000 0.722
11.508 0.000 3.559
18.658 0.000 3.373
26.731 0.000 6.210
13.251 0.000 5.568
16.915 0.000 1.364
1.740 0.000 4.877
5.606 0.000 2.694
9.984 0.000 0.827
20.182 0.000 6.105
24.560 0.000 4.238
28.426 0.000 2.055
```

Summary:
formation energy (no corrections): -0.9784 eV per atom
symmetry: C2/m



Entry 2:
An optimized crystal structure of ZrSe2I4, computed with PBE.

POSCAR file:
```
ZrSe2I4
1.0
5.588 0.000 0.000
-0.104 6.993 0.000
-2.761 -2.652 7.576
Zr Se I
1 2 4
Cartesian
0.000 0.000 0.000
-0.121 4.229 0.895
2.843 0.113 6.681
0.019 0.666 2.680
-0.003 -1.090 6.979
2.726 5.431 0.596
2.704 3.676 4.896
```

Summary:
formation energy (no corrections): -0.4140 eV per atom
symmetry: P-1



Entry 3:
An optimized crystal structure of ZrSe2I4, computed with PBE.

POSCAR file:
```
ZrSe2I4
1.0
5.730 0.000 0.000
0.000 5.730 0.000
0.000 0.000 16.600
Zr Se I
2 4 8
Cartesian
0.000 0.000 0.000
2.865 2.865 8.300
0.000 0.000 5.471
0.000 0.000 11.130
2.865 2.865 2.829
2.865 2.865 13.771
0.000 0.000 2.902
0.000 0.000 13.699
0.000 2.865 0.000
0.000 2.865 8.300
2.865 0.000 0.000
2.865 0.000 8.300
2.865 2.865 5.399
2.865 2.865 11.202
```

Summary:
formation energy (no corrections): 0.0860 eV per atom
symmetry: I4/mmm



Entry 4:
An optimized crystal structure of SiI3, computed with PBE.

POSCAR file:
```
SiI3
1.0
8.410 0.000 0.000
0.000 8.410 0.000
0.000 0.000 9.663
Si I
4 12
Cartesian
0.000 0.000 0.000
0.000 4.205 2.416
4.205 0.000 7.247
4.205 4.205 4.832
0.000 0.000 4.832
0.000 4.205 7.247
1.288 2.102 1.208
2.102 5.493 3.624
2.102 7.122 8.455
2.917 2.102 6.039
4.205 0.000 2.416
4.205 4.205 0.000
5.493 6.307 6.039
6.307 1.288 8.455
6.307 2.917 3.624
7.122 6.307 1.208
```

Summary:
formation energy (no corrections): 0.2796 eV per atom
symmetry: I-42d



Entry 5:
An optimized crystal structure of SiI, computed with PBE.

POSCAR file:
```
SiI
1.0
5.788 0.000 0.000
2.813 7.111 0.000
1.611 1.557 7.383
Si I
4 4
Cartesian
1.042 1.504 2.751
2.268 3.178 3.944
7.944 5.490 3.439
9.170 7.164 4.632
2.877 3.052 6.360
5.780 6.056 4.967
4.433 2.612 2.417
7.335 5.616 1.024
```

Summary:
formation energy (no corrections): 0.1498 eV per atom
symmetry: P-1



Entry 6:
An optimized crystal structure of SiI, computed with PBE.

POSCAR file:
```
SiI
1.0
4.495 0.000 0.000
0.302 7.848 0.000
0.180 2.159 9.418
Si I
4 4
Cartesian
0.000 0.000 0.000
0.470 6.414 2.713
1.583 5.887 0.681
3.115 7.370 1.658
0.263 4.940 4.672
1.085 4.482 9.284
1.721 8.633 3.659
3.644 1.664 7.191
```

Summary:
formation energy (no corrections): 0.0328 eV per atom
symmetry: P1



Entry 7:
An optimized crystal structure of SiI, computed with PBE.

POSCAR file:
```
SiI
1.0
5.587 0.000 0.000
1.897 7.609 0.000
0.745 1.620 7.938
Si I
4 4
Cartesian
0.000 0.000 0.000
1.142 0.945 1.864
3.200 1.948 2.422
3.948 1.791 0.137
1.115 3.637 2.110
2.642 2.605 6.363
5.081 5.564 6.871
7.518 7.506 3.867
```

Summary:
formation energy (no corrections): 0.1394 eV per atom
symmetry: P1



Entry 8:
An optimized crystal structure of SiI, computed with PBE.

POSCAR file:
```
SiI
1.0
4.284 0.000 0.000
-2.142 3.710 0.000
0.000 0.000 11.098
Si I
2 2
Cartesian
0.000 2.473 0.000
2.142 1.237 5.549
0.000 2.473 4.183
2.142 1.237 9.732
```

Summary:
formation energy (no corrections): 0.9725 eV per atom
symmetry: P6_3mc



Entry 9:
An optimized crystal structure of SiI, computed with PBE.

POSCAR file:
```
SiI
1.0
11.755 0.000 0.000
0.000 6.166 0.000
0.000 0.000 6.157
Si I
6 6
Cartesian
0.000 0.065 0.000
2.128 5.112 0.045
3.749 1.054 3.124
5.877 6.101 3.078
8.006 1.054 3.124
9.626 5.112 0.045
0.000 2.476 5.414
2.186 5.054 3.153
3.691 1.112 0.075
5.877 3.691 2.336
8.063 1.112 0.075
9.569 5.054 3.153
```

Summary:
formation energy (no corrections): 0.3565 eV per atom
symmetry: Pmn2_1



Entry 10:
An optimized crystal structure of SiI, computed with PBE.

POSCAR file:
```
SiI
1.0
12.952 0.000 0.000
-6.476 11.217 0.000
0.000 0.000 4.024
Si I
6 6
Cartesian
-2.726 5.943 1.006
2.692 5.885 1.006
0.034 10.606 1.006
6.442 0.611 3.018
3.784 5.332 3.018
9.202 5.274 3.018
-0.465 4.843 1.006
-2.049 9.198 1.006
3.961 2.824 3.018
2.515 8.392 1.006
8.525 2.018 3.018
6.941 6.374 3.018
```

Summary:
formation energy (no corrections): 0.1871 eV per atom
symmetry: P6_3/m



Entry 11:
An optimized crystal structure of SiI, computed with PBE.

POSCAR file:
```
SiI
1.0
5.727 0.000 0.000
-2.277 6.683 0.000
-1.298 -3.175 7.451
Si I
4 4
Cartesian
-0.364 1.068 0.480
-0.037 -0.714 6.802
2.189 4.223 0.649
2.516 2.441 6.971
-0.513 0.500 4.658
-0.091 5.453 1.488
2.244 -1.944 5.963
2.665 3.008 2.793
```

Summary:
formation energy (no corrections): 0.1504 eV per atom
symmetry: P-1



Entry 12:
An optimized crystal structure of Si23I3, computed with PBE.

POSCAR file:
```
Si23I3
1.0
10.275 0.000 0.000
0.000 10.275 0.000
0.000 0.000 10.275
Si I
46 6
Cartesian
0.000 1.203 3.160
0.000 1.203 7.115
0.000 2.569 5.137
0.000 7.706 5.137
0.000 9.072 3.160
0.000 9.072 7.115
1.203 3.160 0.000
1.203 7.115 0.000
1.889 1.889 1.889
1.889 1.889 8.386
1.889 8.386 1.889
1.889 8.386 8.386
1.978 3.935 5.137
1.978 6.340 5.137
2.569 5.137 0.000
3.160 0.000 1.203
3.160 0.000 9.072
3.248 3.248 3.248
3.248 3.248 7.026
3.248 7.026 3.248
3.248 7.026 7.026
3.935 5.137 1.978
3.935 5.137 8.297
5.137 0.000 2.569
5.137 0.000 7.706
5.137 1.978 3.935
5.137 1.978 6.340
5.137 8.297 3.935
5.137 8.297 6.340
6.340 5.137 1.978
6.340 5.137 8.297
7.026 3.248 3.248
7.026 3.248 7.026
7.026 7.026 3.248
7.026 7.026 7.026
7.115 0.000 1.203
7.115 0.000 9.072
7.706 5.137 0.000
8.297 3.935 5.137
8.297 6.340 5.137
8.386 1.889 1.889
8.386 1.889 8.386
8.386 8.386 1.889
8.386 8.386 8.386
9.072 3.160 0.000
9.072 7.115 0.000
0.000 5.137 2.569
0.000 5.137 7.706
2.569 0.000 5.137
5.137 2.569 0.000
5.137 7.706 0.000
7.706 0.000 5.137
```

Summary:
formation energy (no corrections): 0.0771 eV per atom
symmetry: Pm-3n